1.
The following is a DFT calculation (PBE) of an optimized crystal structure of LuVNi2.

The structure in POSCAR format:
```
LuVNi2
1.0
3.0484 0.0000 0.0000
0.0000 3.0484 0.0000
0.0000 0.0000 6.4635
Lu V Ni
1 1 2
direct
0.0000 0.0000 0.0000
0.0000 0.0000 0.5000
0.5000 0.5000 0.3003
0.5000 0.5000 0.6997
```

## Properties
The value obtained for the density is 9.5 Mg/m³. The calculation puts the formation energy from the elements at -0.1756 eV per atom. As for the total moment: 0.80 μB/f.u. The value obtained for the density of states at the Fermi level is 5.37 states/eV/cell. For the total DFT energy (no corrections), the calculation gives -6.4762 eV per atom.

***

2.
The following is a DFT calculation (PBE) of an optimized crystal structure of Sr2Pt2Au.

The structure in POSCAR format:
```
Sr2Pt2Au
1.0
-2.3421 2.8786 4.5239
2.3421 -2.8786 4.5239
2.3421 2.8786 -4.5239
Sr Pt Au
2 2 1
direct
0.1985 0.1985 0.0000
0.8015 0.8015 0.0000
0.2331 0.5000 0.7331
0.7669 0.5000 0.2669
0.5000 0.0000 0.5000
```

## Properties
The value obtained for the density is 10.4 Mg/m³. The energy above the most stable polymorph in this dataset is 0 meV/atom. The calculation puts the formation energy from the elements at -0.8158 eV per atom. As for the total moment: 0.00 μB/f.u. The value obtained for the density of states at the Fermi level is 2.18 states/eV/cell. For the total DFT energy (no corrections), the calculation gives -4.5603 eV per atom.

***

3.
The following is a DFT calculation (PBE) of an optimized crystal structure of SmMgZnIr.

The structure in POSCAR format:
```
SmMgZnIr
1.0
0.0000 3.4007 3.4007
3.4007 0.0000 3.4007
3.4007 3.4007 0.0000
Sm Mg Zn Ir
1 1 1 1
direct
0.0000 0.0000 0.0000
0.5000 0.5000 0.5000
0.7500 0.7500 0.7500
0.2500 0.2500 0.2500
```

## Properties
The value obtained for the density is 9.1 Mg/m³. The calculation puts the formation energy from the elements at -0.3592 eV per atom. As for the total moment: 0.00 μB/f.u. The value obtained for the density of states at the Fermi level is 3.63 states/eV/cell. For the total DFT energy (no corrections), the calculation gives -4.4714 eV per atom.

***

4.
The following is a DFT calculation (PBE) of an optimized crystal structure of Al2FeTe.

The structure in POSCAR format:
```
Al2FeTe
1.0
1.5951 0.9209 8.3775
-1.5951 0.9209 8.3775
0.0000 -1.8418 8.3775
Al Fe Te
2 1 1
direct
0.0000 0.0000 0.0000
0.2470 0.2470 0.2470
0.7366 0.7366 0.7366
0.4740 0.4740 0.4740
```

## Properties
The value obtained for the density is 5.3 Mg/m³. As for the total moment: 1.33 μB/f.u. The value obtained for the density of states at the Fermi level is 3.23 states/eV/cell. For the total DFT energy (no corrections), the calculation gives -4.5281 eV per atom. Its uncorrected formation energy is 0.24 eV per atom.

***

5.
The following is a DFT calculation (PBE) of an optimized crystal structure of La2ScW.

The structure in POSCAR format:
```
La2ScW
1.0
3.1828 0.0000 0.0000
0.0000 4.8802 0.0000
0.0000 0.0000 6.5977
La Sc W
2 1 1
direct
0.0000 0.0000 0.2325
0.0000 0.0000 0.7675
0.5000 0.5000 0.5000
0.5000 0.5000 0.0000
```

## Properties
The value obtained for the density is 8.2 Mg/m³. The energy above the most stable polymorph in this dataset is 213 meV/atom. The calculation puts the formation energy from the elements at 0.5863 eV per atom. As for the total moment: 0.00 μB/f.u. The value obtained for the density of states at the Fermi level is 6.23 states/eV/cell. For the total DFT energy (no corrections), the calculation gives -6.6986 eV per atom.

***

6.
The following is a DFT calculation (PBE) of an optimized crystal structure of SrMgCd5Ag2.

The structure in POSCAR format:
```
SrMgCd5Ag2
1.0
5.3075 0.0000 0.0000
0.0000 5.3075 0.0000
0.0000 0.0000 8.1723
Sr Mg Cd Ag
1 1 5 2
direct
0.0000 0.0000 0.0000
0.0000 0.0000 0.5000
0.0000 0.5000 0.2719
0.0000 0.5000 0.7281
0.5000 0.0000 0.2719
0.5000 0.0000 0.7281
0.5000 0.5000 0.0000
0.5000 0.5000 0.3377
0.5000 0.5000 0.6623
```

## Properties
The value obtained for the density is 6.4 Mg/m³. The calculation puts the formation energy from the elements at -0.0055 eV per atom. As for the total moment: 0.00 μB/f.u. The value obtained for the density of states at the Fermi level is 2.98 states/eV/cell. For the total DFT energy (no corrections), the calculation gives -1.5116 eV per atom.

***

7.
The following is a DFT calculation (PBE) of an optimized crystal structure of SmEr2Zn3.

The structure in POSCAR format:
```
SmEr2Zn3
1.0
3.5701 0.0000 0.0000
0.0000 3.5701 0.0000
0.0000 0.0000 10.7365
Sm Er Zn
1 2 3
direct
0.0000 0.0000 0.0000
0.0000 0.0000 0.3364
0.0000 0.0000 0.6636
0.5000 0.5000 0.1774
0.5000 0.5000 0.5000
0.5000 0.5000 0.8226
```

## Properties
The value obtained for the density is 8.3 Mg/m³. The calculation puts the formation energy from the elements at -0.3336 eV per atom. As for the total moment: 0.00 μB/f.u. The value obtained for the density of states at the Fermi level is 6.89 states/eV/cell. For the total DFT energy (no corrections), the calculation gives -3.2781 eV per atom.

***

8.
The following is a DFT calculation (PBE) of an optimized crystal structure of K2SbAu.

The structure in POSCAR format:
```
K2SbAu
1.0
3.9957 0.0000 0.0000
0.0000 3.9957 0.0000
0.0000 0.0000 10.0334
K Sb Au
2 1 1
direct
0.0000 0.0000 0.0000
0.5000 0.5000 0.4008
0.0000 0.0000 0.6650
0.5000 0.5000 0.7212
```

## Properties
The value obtained for the density is 4.1 Mg/m³. As for the total moment: 0.00 μB/f.u. The value obtained for the density of states at the Fermi level is 2.45 states/eV/cell. For the total DFT energy (no corrections), the calculation gives -2.5580 eV per atom. Its uncorrected formation energy is -0.16 eV per atom.